This record from the Alexandria database describes crystalline Sr2Nd2MnCuO8 at its relaxed geometry. The functional is GGA+U.

a = 3.8512 Å, b = 3.8512 Å, c = 12.6933 Å
α = 90.00°, β = 90.00°, γ = 90.00°
Fractional coordinates of all 14 atoms:
Sr1 0.0000 0.0000 0.1438
Sr2 0.0000 0.0000 0.8562
Nd1 0.5000 0.5000 0.3622
Nd2 0.5000 0.5000 0.6378
Mn1 0.5000 0.5000 0.0000
Cu1 0.0000 0.0000 0.5000
O1 0.0000 0.0000 0.3424
O2 0.0000 0.0000 0.6576
O3 0.0000 0.5000 0.0000
O4 0.0000 0.5000 0.5000
O5 0.5000 0.0000 0.0000
O6 0.5000 0.0000 0.5000
O7 0.5000 0.5000 0.1870
O8 0.5000 0.5000 0.8130

The density of states at the Fermi level is 1.01 states/eV/f.u. The value obtained for the total DFT energy (no corrections) is -6.966 eV per atom. As for the space group: P4/mmm (123).